This record from the Alexandria database describes crystalline Tm2NiGe6 at its relaxed geometry. The functional is PBE.

calculated density	8.08	g/cm3
final energy	-5.205	eV per atom
magnetic moment	0.00	μB/f.u.
formation energy	-0.49	eV/atom

a = 10.8108 Å, b = 10.8108 Å, c = 4.0342 Å
α = 90.00°, β = 90.00°, γ = 158.74°
Positions (direct):
Ge  0.2397  0.7603  0.0000
Ge  0.3803  0.6197  0.5000
Ge  0.9981  0.0019  0.0000
Ge  0.6643  0.3357  0.0000
Ge  0.4986  0.5014  0.5000
Ge  0.8790  0.1210  0.0000
Tm  0.1144  0.8856  0.5000
Tm  0.7762  0.2238  0.5000
Ni  0.5564  0.4436  0.0000